This record from the Open Quantum Materials Database describes Ir3AuCl after structural relaxation. The functional is PBE-GGA.

Output
Theoretical density   15.5 g cm⁻³
Energy   -4.815 eV per atom

Unit cell a=4.422 b=4.422 c=4.422 alpha=90.00 beta=90.00 gamma=90.00
Space group Pm-3m (No. 221)
One atom of each set of equivalent atoms:
Ir: 0.000 0.000 0.500 (multiplicity 3)
Au: 0.500 0.500 0.500 (multiplicity 1)
Cl: 0.000 0.000 0.000 (multiplicity 1)


This record from the Open Quantum Materials Database describes TbTlCdS3 after structural relaxation. The functional is PBE-GGA.

Output
Theoretical density   5.8 g cm⁻³
Energy relative to the lowest polymorph listed for this composition   0 meV per atom

Unit cell a=14.291 b=4.123 c=11.051 alpha=90.00 beta=90.00 gamma=90.00
Space group Pnma (No. 62)
One atom of each set of equivalent atoms:
Tb: 0.028 0.250 0.151 (multiplicity 4)
Tl: 0.249 0.250 0.453 (multiplicity 4)
Cd: 0.025 0.750 0.398 (multiplicity 4)
S: 0.082 0.750 0.626 (multiplicity 4)
S: 0.092 0.250 0.922 (multiplicity 4)
S: 0.144 0.750 0.229 (multiplicity 4)


This record from the Open Quantum Materials Database describes KErFeSe3 after structural relaxation. The functional is PBE-GGA.

Output
Theoretical density   5.1 g cm⁻³
Energy relative to the lowest polymorph listed for this composition   19 meV per atom

Unit cell a=10.737 b=4.089 c=14.868 alpha=90.00 beta=90.00 gamma=90.00
Space group Pnma (No. 62)
One atom of each set of equivalent atoms:
K: 0.230 0.250 0.003 (multiplicity 4)
Er: 0.017 0.750 0.253 (multiplicity 4)
Fe: 0.235 0.750 0.781 (multiplicity 4)
Se: 0.048 0.750 0.872 (multiplicity 4)
Se: 0.084 0.250 0.377 (multiplicity 4)
Se: 0.235 0.250 0.684 (multiplicity 4)


This record from the Open Quantum Materials Database describes CsLaTm after structural relaxation. The functional is PBE-GGA.

Output
Theoretical density   4.5 g cm⁻³
Energy relative to the lowest polymorph listed for this composition   0 meV per atom

Unit cell a=8.662 b=8.662 c=8.662 alpha=90.00 beta=90.00 gamma=90.00
Space group F-43m (No. 216)
One atom of each set of equivalent atoms:
Cs: 0.000 0.000 0.000 (multiplicity 4)
La: 0.000 0.000 0.500 (multiplicity 4)
Tm: 0.250 0.250 0.250 (multiplicity 4)


This record from the Open Quantum Materials Database describes Li2HoO4 after structural relaxation. The functional is PBE-GGA.

Output
Theoretical density   4.9 g cm⁻³
Energy   -5.528 eV per atom

Unit cell a=8.688 b=8.688 c=8.688 alpha=90.00 beta=90.00 gamma=90.00
Space group Fd-3m (No. 227, origin choice 2)
One atom of each set of equivalent atoms:
Li: 0.000 0.000 0.000 (multiplicity 16)
Ho: 0.125 0.125 0.625 (multiplicity 8)
O: 0.014 0.014 0.236 (multiplicity 32)


This record from the Open Quantum Materials Database describes BOs2O4 after structural relaxation. The functional is PBE-GGA.

Output
Theoretical density   11.7 g cm⁻³
Energy   -7.543 eV per atom

Unit cell a=8.026 b=8.026 c=8.026 alpha=90.00 beta=90.00 gamma=90.00
Space group Fd-3m (No. 227, origin choice 2)
One atom of each set of equivalent atoms:
B: 0.125 0.125 0.125 (multiplicity 8)
Os: 0.000 0.000 0.500 (multiplicity 16)
O: 0.018 0.018 0.232 (multiplicity 32)


- Which of these has the lowest theoretical density?
  CsLaTm